Material: TbGdCdPb
Method: DFT, PBE-GGA
State: relaxed

Lattice parameters (Å, degrees): 7.615 7.615 7.615 90.00 90.00 90.00
Space group F-43m (No. 216)
Unique sites:
Tb: 0.000 0.000 0.000
Gd: 0.000 0.000 0.500
Cd: 0.250 0.250 0.750
Pb: 0.250 0.250 0.250

Values from the calculation:
The volume is 27.60 A^3/atom. The calculation puts the density of states at the Fermi level at 4.2 states/eV/f.u. The total magnetization is 7.5 μB/f.u. For the formation energy, the calculation gives -0.4055 eV/atom.